This record from the Alexandria database describes crystalline TbGeBiO5 at its relaxed geometry. The functional is PBE.

Cell lengths 5.931, 5.931, 7.731 Å; angles 101.42, 101.42, 109.19 degrees
Fractional coordinates of all 16 atoms:
Tb1 0.000 0.000 0.500
Tb2 0.000 0.000 0.000
Bi1 0.328 0.672 0.250
O1 0.890 0.110 0.750
O2 0.589 0.734 0.927
O3 0.266 0.411 0.573
O4 0.411 0.266 0.073
O5 0.073 0.660 0.856
O6 0.734 0.589 0.427
O7 0.927 0.340 0.144
O8 0.110 0.890 0.250
O9 0.660 0.073 0.356
Bi2 0.672 0.328 0.750
Ge1 0.679 0.321 0.250
Ge2 0.321 0.679 0.750
O10 0.340 0.927 0.644

Calculated values
E (eV per atom): -6.829